Here is crystalline DyTm12Sc2 at its relaxed geometry from Alexandria via LeMat-Bulk. Energies are from PBE.

Unit cell a=6.201 b=6.201 c=24.799 alpha=90.00 beta=90.00 gamma=90.00
Fractional coordinates of all 30 atoms:
1 Tm 0.816 0.316 0.883
2 Tm 0.170 0.670 0.560
3 Tm 0.670 0.830 0.560
4 Tm 0.816 0.684 0.117
5 Tm 0.830 0.330 0.560
6 Tm 0.184 0.684 0.883
7 Tm 0.684 0.184 0.117
8 Tm 0.500 0.500 0.783
9 Tm 0.316 0.816 0.117
10 Tm 0.500 0.500 0.339
11 Tm 0.500 0.500 0.217
12 Tm 0.330 0.830 0.440
13 Tm 0.316 0.184 0.883
14 Tm 0.500 0.500 0.661
15 Tm 0.330 0.170 0.560
16 Tm 0.830 0.670 0.440
17 Tm 0.000 0.000 0.783
18 Tm 0.000 0.000 0.217
19 Tm 0.170 0.330 0.440
20 Tm 0.684 0.816 0.883
21 Tm 0.000 0.000 0.661
22 Tm 0.000 0.000 0.339
23 Tm 0.670 0.170 0.440
24 Tm 0.184 0.316 0.117
25 Dy 0.500 0.000 0.000
26 Dy 0.000 0.500 0.000
27 Sc 0.000 0.500 0.275
28 Sc 0.500 0.000 0.275
29 Sc 0.000 0.500 0.725
30 Sc 0.500 0.000 0.725

Summary:
**Crystal system**: tetragonal
**SG**: P4/nbm (125)
**Formation enthalpy at 0 K**: 0.369 eV/atom
**Final energy**: -4.36 eV per atom
**D(E_F)**: 40.58 states/eV/cell
**Density**: 7.94 Mg/m³

---

Here is crystalline DyTm6Sc3 at its relaxed geometry from Alexandria via LeMat-Bulk. Energies are from PBE.

Unit cell a=6.064 b=10.545 c=10.545 alpha=121.15 beta=90.00 gamma=90.00
Fractional coordinates of all 20 atoms:
1 Tm 0.882 0.047 0.953
2 Tm 0.527 0.293 0.373
3 Tm 0.856 0.965 0.554
4 Tm 0.356 0.554 0.965
5 Tm 0.027 0.707 0.627
6 Tm 0.382 0.953 0.047
7 Tm 0.665 0.302 0.698
8 Tm 0.165 0.698 0.302
9 Tm 0.356 0.035 0.446
10 Tm 0.527 0.627 0.707
11 Tm 0.027 0.373 0.293
12 Tm 0.856 0.446 0.035
13 Dy 0.189 0.209 0.791
14 Dy 0.689 0.791 0.209
15 Sc 0.937 0.075 0.297
16 Sc 0.610 0.613 0.387
17 Sc 0.110 0.387 0.613
18 Sc 0.437 0.925 0.703
19 Sc 0.937 0.703 0.925
20 Sc 0.437 0.297 0.075

Summary:
**Crystal system**: orthorhombic
**SG**: Cmc2_1 (36)
**ΔE to the lowest computed polymorph**: 118.8 meV/atom
**Formation enthalpy at 0 K**: 0.165 eV/atom
**Final energy**: -4.88 eV per atom
**D(E_F)**: 26.82 states/eV/cell
**Density**: 7.55 Mg/m³

---

Here is crystalline Dy6Tm2Sc5 at its relaxed geometry from Alexandria via LeMat-Bulk. Energies are from PBE.

Unit cell a=3.467 b=11.300 c=19.262 alpha=90.00 beta=90.00 gamma=90.00
Fractional coordinates of all 26 atoms:
1 Sc 0.500 0.000 0.500
2 Sc 0.500 0.604 0.276
3 Sc 0.500 0.198 0.946
4 Sc 0.500 0.104 0.224
5 Sc 0.500 0.802 0.054
6 Sc 0.500 0.698 0.554
7 Sc 0.500 0.500 0.000
8 Sc 0.500 0.396 0.724
9 Sc 0.500 0.896 0.776
10 Sc 0.500 0.302 0.446
11 Dy 0.000 0.943 0.920
12 Dy 0.500 0.672 0.874
13 Dy 0.000 0.912 0.634
14 Dy 0.000 0.088 0.366
15 Dy 0.500 0.828 0.374
16 Dy 0.000 0.443 0.580
17 Dy 0.000 0.057 0.080
18 Dy 0.500 0.328 0.126
19 Dy 0.000 0.588 0.134
20 Dy 0.000 0.412 0.866
21 Dy 0.500 0.172 0.626
22 Dy 0.000 0.557 0.420
23 Tm 0.000 0.654 0.714
24 Tm 0.000 0.346 0.286
25 Tm 0.000 0.846 0.214
26 Tm 0.000 0.154 0.786

Summary:
**Crystal system**: orthorhombic
**SG**: Pbam (55)
**Formation enthalpy at 0 K**: 0.120 eV/atom
**Final energy**: -5.13 eV per atom
**D(E_F)**: 36.81 states/eV/cell
**Density**: 6.77 Mg/m³

---

Here is crystalline DyTm2Sc6 at its relaxed geometry from Alexandria via LeMat-Bulk. Energies are from PBE.

Unit cell a=3.384 b=3.384 c=24.274 alpha=90.00 beta=90.00 gamma=120.00
Each line ends with the local moment (μB).
Fractional coordinates of all 9 atoms:
1 Sc 0.000 0.000 0.783  0.05
2 Sc 0.000 0.000 0.562  0.29
3 Sc 0.333 0.667 0.887  0.01
4 Sc 0.000 0.000 0.217  0.05
5 Sc 0.000 0.000 0.438  0.29
6 Sc 0.333 0.667 0.113  0.01
7 Tm 0.333 0.667 0.328  0.14
8 Tm 0.333 0.667 0.672  0.14
9 Dy 0.000 0.000 0.000  -0.09

Summary:
**Crystal system**: hexagonal
**SG**: P-6m2 (187)
**ΔE to the lowest computed polymorph**: 5.4 meV/atom
**Formation enthalpy at 0 K**: 0.068 eV/atom
**Final energy**: -5.66 eV per atom
**D(E_F)**: 15.42 states/eV/cell
**Density**: 5.31 Mg/m³

---

Here is crystalline Dy3Tm7Sc at its relaxed geometry from Alexandria via LeMat-Bulk. Energies are from PBE.

Unit cell a=8.440 b=6.905 c=6.905 alpha=120.00 beta=90.00 gamma=90.00
Fractional coordinates of all 11 atoms:
1 Tm 0.447 0.832 0.664
2 Tm 0.122 0.168 0.337
3 Tm 0.122 0.168 0.832
4 Tm 0.447 0.832 0.168
5 Tm 0.122 0.663 0.832
6 Tm 0.447 0.336 0.168
7 Tm 0.119 0.667 0.333
8 Dy 0.781 0.499 0.998
9 Dy 0.781 0.002 0.501
10 Dy 0.781 0.499 0.501
11 Sc 0.446 0.333 0.667

Summary:
**Crystal system**: trigonal
**SG**: P3m1 (156)
**ΔE to the lowest computed polymorph**: 31.7 meV/atom
**Formation enthalpy at 0 K**: 0.197 eV/atom
**Final energy**: -4.48 eV per atom
**D(E_F)**: 17.28 states/eV/cell
**Density**: 8.17 Mg/m³

---

Here is crystalline DyTmSc2 at its relaxed geometry from Alexandria via LeMat-Bulk. Energies are from PBE.

Unit cell a=3.428 b=3.428 c=11.005 alpha=81.04 beta=81.04 gamma=60.00
Fractional coordinates of all 4 atoms:
1 Sc 0.084 0.084 0.747
2 Sc 0.249 0.249 0.253
3 Dy 0.666 0.666 0.001
4 Tm 0.500 0.500 0.499

Summary:
**Crystal system**: trigonal
**SG**: R3m (160)
**ΔE to the lowest computed polymorph**: 0.0 meV/atom
**Formation enthalpy at 0 K**: 0.042 eV/atom
**Final energy**: -5.39 eV per atom
**D(E_F)**: 7.04 states/eV/cell
**Density**: 6.35 Mg/m³

---

Here is crystalline DyTm3Sc3 at its relaxed geometry from Alexandria via LeMat-Bulk. Energies are from PBE.

Unit cell a=5.395 b=9.161 c=9.161 alpha=120.00 beta=90.00 gamma=90.00
Each line ends with the local moment (μB).
Fractional coordinates of all 14 atoms:
1 Dy 0.750 0.333 0.667  0.10
2 Dy 0.250 0.667 0.333  0.10
3 Sc 0.750 0.904 0.385  0.08
4 Sc 0.250 0.096 0.615  0.08
5 Sc 0.750 0.615 0.520  0.08
6 Sc 0.750 0.480 0.096  0.08
7 Sc 0.250 0.385 0.480  0.08
8 Sc 0.250 0.520 0.904  0.08
9 Tm 0.250 0.243 0.047  0.07
10 Tm 0.750 0.195 0.243  0.07
11 Tm 0.250 0.953 0.195  0.07
12 Tm 0.750 0.757 0.953  0.07
13 Tm 0.750 0.047 0.805  0.07
14 Tm 0.250 0.805 0.757  0.07

Summary:
**Crystal system**: hexagonal
**SG**: P6_3/m (176)
**ΔE to the lowest computed polymorph**: 0.0 meV/atom
**Formation enthalpy at 0 K**: 0.019 eV/atom
**Final energy**: -5.27 eV per atom
**D(E_F)**: 28.19 states/eV/cell
**Density**: 6.81 Mg/m³

---

Here is crystalline Dy6Tm8Sc at its relaxed geometry from Alexandria via LeMat-Bulk. Energies are from PBE.

Unit cell a=5.681 b=9.682 c=9.682 alpha=120.00 beta=90.00 gamma=90.00
Fractional coordinates of all 15 atoms:
1 Tm 0.770 0.219 0.949
2 Tm 0.230 0.270 0.219
3 Tm 0.770 0.730 0.781
4 Tm 0.231 0.667 0.333
5 Tm 0.770 0.051 0.270
6 Tm 0.230 0.781 0.051
7 Tm 0.230 0.949 0.730
8 Tm 0.769 0.333 0.667
9 Dy 0.262 0.377 0.908
10 Dy 0.738 0.908 0.531
11 Dy 0.738 0.469 0.377
12 Dy 0.262 0.531 0.623
13 Dy 0.262 0.092 0.469
14 Dy 0.738 0.623 0.092
15 Sc 0.500 0.000 0.000

Summary:
**Crystal system**: trigonal
**SG**: P-3 (147)
**Formation enthalpy at 0 K**: 0.144 eV/atom
**Final energy**: -4.50 eV per atom
**D(E_F)**: 22.60 states/eV/cell
**Density**: 8.54 Mg/m³

---

Here is crystalline DyTm6Sc3 at its relaxed geometry from Alexandria via LeMat-Bulk. Energies are from PBE.

Unit cell a=3.429 b=14.149 c=12.304 alpha=84.20 beta=97.99 gamma=76.07
Fractional coordinates of all 20 atoms:
1 Tm 0.876 0.223 0.696
2 Tm 0.124 0.777 0.304
3 Tm 0.625 0.075 0.901
4 Tm 0.123 0.377 0.499
5 Tm 0.124 0.574 0.897
6 Tm 0.877 0.623 0.501
7 Tm 0.371 0.728 0.699
8 Tm 0.875 0.026 0.304
9 Tm 0.629 0.272 0.301
10 Tm 0.375 0.925 0.099
11 Tm 0.876 0.426 0.103
12 Tm 0.125 0.974 0.696
13 Sc 0.126 0.174 0.102
14 Sc 0.874 0.826 0.898
15 Sc 0.376 0.525 0.301
16 Sc 0.624 0.475 0.699
17 Sc 0.624 0.876 0.501
18 Sc 0.376 0.124 0.499
19 Dy 0.625 0.676 0.100
20 Dy 0.375 0.324 0.900

Summary:
**Crystal system**: triclinic
**SG**: P-1 (2)
**ΔE to the lowest computed polymorph**: 0.0 meV/atom
**Formation enthalpy at 0 K**: 0.047 eV/atom
**Final energy**: -5.00 eV per atom
**D(E_F)**: 33.13 states/eV/cell
**Density**: 7.66 Mg/m³

---

Here is crystalline DyTm5Sc3 at its relaxed geometry from Alexandria via LeMat-Bulk. Energies are from PBE.

Unit cell a=7.965 b=7.965 c=12.826 alpha=59.89 beta=59.89 gamma=88.91
Fractional coordinates of all 18 atoms:
1 Dy 0.005 0.005 0.223
2 Dy 0.995 0.995 0.777
3 Tm 0.773 0.271 0.350
4 Tm 0.257 0.743 0.000
5 Tm 0.271 0.773 0.350
6 Tm 0.227 0.729 0.650
7 Tm 0.347 0.347 0.906
8 Tm 0.309 0.309 0.427
9 Tm 0.691 0.691 0.573
10 Tm 0.729 0.227 0.650
11 Tm 0.653 0.653 0.094
12 Tm 0.743 0.257 0.000
13 Sc 0.000 0.000 0.000
14 Sc 0.318 0.318 0.174
15 Sc 0.682 0.682 0.826
16 Sc 0.339 0.339 0.656
17 Sc 0.000 0.000 0.500
18 Sc 0.661 0.661 0.344

Summary:
**Crystal system**: monoclinic
**SG**: C2/m (12)
**Formation enthalpy at 0 K**: 0.533 eV/atom
**Final energy**: -4.57 eV per atom
**D(E_F)**: 27.54 states/eV/cell
**Density**: 6.55 Mg/m³

---

Here is crystalline Dy4Tm5Sc2 at its relaxed geometry from Alexandria via LeMat-Bulk. Energies are from PBE.

Unit cell a=3.594 b=9.587 c=14.072 alpha=89.38 beta=129.68 gamma=112.03
Fractional coordinates of all 11 atoms:
1 Tm 0.720 0.069 0.661
2 Tm 0.280 0.931 0.339
3 Tm 0.816 0.656 0.464
4 Tm 0.184 0.344 0.536
5 Tm 0.500 0.000 0.000
6 Dy 0.825 0.707 0.047
7 Dy 0.175 0.293 0.953
8 Dy 0.123 0.762 0.744
9 Dy 0.877 0.238 0.256
10 Sc 0.467 0.473 0.798
11 Sc 0.533 0.527 0.202

Summary:
**Crystal system**: triclinic
**SG**: P-1 (2)
**ΔE to the lowest computed polymorph**: 0.0 meV/atom
**Formation enthalpy at 0 K**: 0.058 eV/atom
**Final energy**: -4.80 eV per atom
**D(E_F)**: 15.57 states/eV/cell
**Density**: 8.03 Mg/m³

---

Here is crystalline DyTm3Sc6 at its relaxed geometry from Alexandria via LeMat-Bulk. Energies are from PBE.

Unit cell a=9.182 b=9.182 c=6.506 alpha=45.12 beta=45.12 gamma=60.00
Fractional coordinates of all 10 atoms:
1 Sc 0.565 0.236 0.299
2 Sc 0.236 0.901 0.299
3 Sc 0.734 0.066 0.799
4 Sc 0.401 0.734 0.799
5 Sc 0.901 0.565 0.299
6 Sc 0.066 0.401 0.799
7 Dy 0.900 0.900 0.301
8 Tm 0.649 0.649 0.054
9 Tm 0.150 0.150 0.550
10 Tm 0.400 0.400 0.801

Summary:
**Crystal system**: trigonal
**SG**: R3 (146)
**ΔE to the lowest computed polymorph**: 241.2 meV/atom
**Formation enthalpy at 0 K**: 0.396 eV/atom
**Final energy**: -5.20 eV per atom
**D(E_F)**: 21.51 states/eV/cell
**Density**: 5.66 Mg/m³

---

Here is crystalline Dy7Tm12Sc at its relaxed geometry from Alexandria via LeMat-Bulk. Energies are from PBE.

Unit cell a=8.546 b=8.546 c=8.546 alpha=94.87 beta=94.87 gamma=94.87
Fractional coordinates of all 20 atoms:
1 Dy 0.657 0.992 0.925
2 Dy 0.500 0.500 0.500
3 Dy 0.075 0.343 0.008
4 Dy 0.008 0.075 0.343
5 Dy 0.343 0.008 0.075
6 Dy 0.925 0.657 0.992
7 Dy 0.992 0.925 0.657
8 Sc 0.000 0.000 0.000
9 Tm 0.194 0.751 0.325
10 Tm 0.249 0.675 0.806
11 Tm 0.527 0.857 0.592
12 Tm 0.592 0.527 0.857
13 Tm 0.675 0.806 0.249
14 Tm 0.408 0.473 0.143
15 Tm 0.473 0.143 0.408
16 Tm 0.751 0.325 0.194
17 Tm 0.857 0.592 0.527
18 Tm 0.325 0.194 0.751
19 Tm 0.143 0.408 0.473
20 Tm 0.806 0.249 0.675

Summary:
**Crystal system**: trigonal
**SG**: R-3 (148)
**ΔE to the lowest computed polymorph**: 0.0 meV/atom
**Formation enthalpy at 0 K**: 0.295 eV/atom
**Final energy**: -4.32 eV per atom
**D(E_F)**: 19.71 states/eV/cell
**Density**: 8.64 Mg/m³

---

Here is crystalline Dy5Tm2Sc5 at its relaxed geometry from Alexandria via LeMat-Bulk. Energies are from PBE.

Unit cell a=4.817 b=7.630 c=10.833 alpha=115.05 beta=90.00 gamma=108.40
Fractional coordinates of all 12 atoms:
1 Sc 0.749 0.499 0.746
2 Sc 0.000 0.000 0.000
3 Sc 0.171 0.342 0.502
4 Sc 0.251 0.501 0.254
5 Sc 0.829 0.658 0.498
6 Tm 0.916 0.833 0.254
7 Tm 0.084 0.167 0.746
8 Dy 0.664 0.329 0.999
9 Dy 0.587 0.175 0.252
10 Dy 0.500 0.000 0.500
11 Dy 0.336 0.671 0.001
12 Dy 0.413 0.825 0.748

Summary:
**Crystal system**: monoclinic
**SG**: C2/m (12)
**ΔE to the lowest computed polymorph**: 0.0 meV/atom
**Formation enthalpy at 0 K**: 0.050 eV/atom
**Final energy**: -5.25 eV per atom
**D(E_F)**: 17.77 states/eV/cell
**Density**: 6.75 Mg/m³

---

Here is crystalline Dy5TmSc at its relaxed geometry from Alexandria via LeMat-Bulk. Energies are from PBE.

Unit cell a=6.832 b=8.343 c=9.828 alpha=42.81 beta=37.30 gamma=45.54
Fractional coordinates of all 7 atoms:
1 Tm 0.000 0.000 0.000
2 Sc 0.500 0.500 0.500
3 Dy 0.500 0.000 0.000
4 Dy 0.805 0.903 0.527
5 Dy 0.195 0.097 0.473
6 Dy 0.665 0.473 0.097
7 Dy 0.335 0.527 0.903

Summary:
**Crystal system**: monoclinic
**SG**: C2/m (12)
**ΔE to the lowest computed polymorph**: 0.0 meV/atom
**Formation enthalpy at 0 K**: 0.211 eV/atom
**Final energy**: -4.62 eV per atom
**D(E_F)**: 8.47 states/eV/cell
**Density**: 7.70 Mg/m³

---

Here is crystalline Dy3Tm8Sc at its relaxed geometry from Alexandria via LeMat-Bulk. Energies are from PBE.

Unit cell a=7.541 b=7.541 c=9.244 alpha=114.07 beta=114.07 gamma=90.00
Fractional coordinates of all 12 atoms:
1 Sc 0.000 0.000 0.000
2 Dy 0.250 0.750 0.500
3 Dy 0.750 0.250 0.500
4 Dy 0.500 0.500 0.000
5 Tm 0.123 0.632 0.755
6 Tm 0.368 0.877 0.245
7 Tm 0.632 0.123 0.755
8 Tm 0.632 0.632 0.755
9 Tm 0.123 0.123 0.755
10 Tm 0.877 0.877 0.245
11 Tm 0.877 0.368 0.245
12 Tm 0.368 0.368 0.245

Summary:
**Crystal system**: tetragonal
**SG**: I4/mmm (139)
**Formation enthalpy at 0 K**: 0.725 eV/atom
**Final energy**: -3.93 eV per atom
**D(E_F)**: 11.68 states/eV/cell
**Density**: 7.28 Mg/m³

---

Here is crystalline Dy7Tm2Sc2 at its relaxed geometry from Alexandria via LeMat-Bulk. Energies are from PBE.

Unit cell a=3.533 b=10.290 c=10.290 alpha=67.38 beta=80.12 gamma=80.12
Fractional coordinates of all 11 atoms:
1 Dy 0.836 0.527 0.802
2 Dy 0.301 0.827 0.571
3 Dy 0.169 0.726 0.936
4 Dy 0.699 0.429 0.173
5 Dy 0.500 0.869 0.131
6 Dy 0.164 0.198 0.473
7 Dy 0.831 0.064 0.274
8 Sc 0.614 0.009 0.763
9 Sc 0.386 0.237 0.991
10 Tm 0.000 0.609 0.391
11 Tm 0.500 0.358 0.642

Summary:
**Crystal system**: orthorhombic
**SG**: Imm2 (44)
**ΔE to the lowest computed polymorph**: 0.0 meV/atom
**Formation enthalpy at 0 K**: 0.144 eV/atom
**Final energy**: -4.75 eV per atom
**D(E_F)**: 13.48 states/eV/cell
**Density**: 7.69 Mg/m³

---

Here is crystalline Dy3Tm4Sc4 at its relaxed geometry from Alexandria via LeMat-Bulk. Energies are from PBE.

Unit cell a=3.368 b=5.391 c=17.425 alpha=81.13 beta=84.44 gamma=90.00
Fractional coordinates of all 11 atoms:
1 Tm 0.547 0.547 0.906
2 Tm 0.453 0.453 0.094
3 Tm 0.683 0.183 0.635
4 Tm 0.317 0.817 0.365
5 Dy 0.862 0.361 0.276
6 Dy 0.138 0.639 0.724
7 Dy 0.000 0.000 0.000
8 Sc 0.734 0.734 0.532
9 Sc 0.266 0.266 0.468
10 Sc 0.408 0.908 0.184
11 Sc 0.592 0.092 0.816

Summary:
**Crystal system**: triclinic
**SG**: P-1 (2)
**ΔE to the lowest computed polymorph**: 19.1 meV/atom
**Formation enthalpy at 0 K**: 0.068 eV/atom
**Final energy**: -5.12 eV per atom
**D(E_F)**: 21.00 states/eV/cell
**Density**: 7.17 Mg/m³